Entry 1:
Here is VReTe2N after structural relaxation from Alexandria via LeMat-Bulk. Energies are from PBE-GGA.

It has space group P4/mmm (No. 123), with a = 5.2840 Å, b = 5.2840 Å, c = 3.5621 Å, α = 90.00°, β = 90.00° and γ = 90.00°. The inequivalent atoms are V at (0.0000, 0.0000, 0.0000), Re at (0.5000, 0.5000, 0.5000), Te at (0.0000, 0.5000, 0.0000) and N at (0.0000, 0.0000, 0.5000).

As for the formation energy without anion corrections: 0.834 eV per atom. Its energy above the lowest structure with this stoichiometry is 292 meV per atom.

Entry 2:
Here is TaB6Mo6 after structural relaxation from Alexandria via LeMat-Bulk. Energies are from PBE-GGA.

It has space group Immm (No. 71), with a = 4.7286 Å, b = 7.6569 Å, c = 8.2474 Å, α = 90.00°, β = 90.00° and γ = 90.00°. The inequivalent atoms are Ta at (0.0000, 0.0000, 0.0000), B at (0.0000, 0.2592, 0.5000), B at (0.2500, 0.2500, 0.2500), Mo at (0.0000, 0.0000, 0.3452), Mo at (0.0000, 0.3329, 0.0000) and Mo at (0.0000, 0.5000, 0.3207).

The value obtained for the formation energy is 188 meV per atom.

Number 1: E -6.40 eV/atom, total magnetic moment 0.623 μB per atom. Number 2: E -8.80 eV/atom, total magnetic moment 0.000 μB per atom.